P:
BeHN2F | PBE-GGA | optimized geometry

Output
Its crystal system is tetragonal.

```
data_BeHN2F
_chemical_formula_sum 'Be1 H1 N2 F1'
_cell_length_a 2.789
_cell_length_b 2.789
_cell_length_c 4.424
_cell_angle_alpha 90.00
_cell_angle_beta 90.00
_cell_angle_gamma 90.00
_space_group_name_H-M_alt 'P 1'
_space_group_IT_number 1
_space_group_name_Hall 'P 1'
loop_
_atom_site_label
_atom_site_type_symbol
_atom_site_fract_x
_atom_site_fract_y
_atom_site_fract_z
_atom_site_occupancy
Be1 Be 0.000 0.000 0.000 1
H1 H 0.500 0.500 0.500 1
N1 N 0.000 0.500 0.500 1
N2 N 0.500 0.000 0.500 1
F1 F 0.500 0.500 0.000 1
```

---

Q:
BeHN2F | PBE-GGA | optimized geometry

Output
Its crystal system is tetragonal.

```
data_BeHN2F
_chemical_formula_sum 'Be1 H1 N2 F1'
_cell_length_a 3.516
_cell_length_b 3.516
_cell_length_c 3.528
_cell_angle_alpha 90.00
_cell_angle_beta 90.00
_cell_angle_gamma 90.00
_space_group_name_H-M_alt 'P 1'
_space_group_IT_number 1
_space_group_name_Hall 'P 1'
loop_
_atom_site_label
_atom_site_type_symbol
_atom_site_fract_x
_atom_site_fract_y
_atom_site_fract_z
_atom_site_occupancy
Be1 Be 0.000 0.000 0.000 1
H1 H 0.500 0.500 0.500 1
N1 N 0.000 0.500 0.000 1
N2 N 0.500 0.000 0.000 1
F1 F 0.000 0.000 0.500 1
```

---

Need the numbers? Relative energies in eV/atom: P 0.000; Q 0.132.

---

P:
BeHOF2 | PBE-GGA | optimized geometry

Output
Its crystal system is tetragonal.

```
data_BeHOF2
_chemical_formula_sum 'Be1 H1 O1 F2'
_cell_length_a 3.764
_cell_length_b 3.764
_cell_length_c 2.603
_cell_angle_alpha 90.00
_cell_angle_beta 90.00
_cell_angle_gamma 90.00
_space_group_name_H-M_alt 'P 1'
_space_group_IT_number 1
_space_group_name_Hall 'P 1'
loop_
_atom_site_label
_atom_site_type_symbol
_atom_site_fract_x
_atom_site_fract_y
_atom_site_fract_z
_atom_site_occupancy
Be1 Be 0.000 0.000 0.000 1
H1 H 0.500 0.500 0.500 1
O1 O 0.500 0.500 0.000 1
F1 F 0.000 0.500 0.500 1
F2 F 0.500 0.000 0.500 1
```

---

Q:
BeHOF2 | PBE-GGA | optimized geometry

Output
Its crystal system is tetragonal.

```
data_BeHOF2
_chemical_formula_sum 'Be1 H1 O1 F2'
_cell_length_a 3.269
_cell_length_b 3.269
_cell_length_c 4.160
_cell_angle_alpha 90.00
_cell_angle_beta 90.00
_cell_angle_gamma 90.00
_space_group_name_H-M_alt 'P 1'
_space_group_IT_number 1
_space_group_name_Hall 'P 1'
loop_
_atom_site_label
_atom_site_type_symbol
_atom_site_fract_x
_atom_site_fract_y
_atom_site_fract_z
_atom_site_occupancy
Be1 Be 0.000 0.000 0.000 1
H1 H 0.500 0.500 0.500 1
O1 O 0.000 0.000 0.500 1
F1 F 0.000 0.500 0.000 1
F2 F 0.500 0.000 0.000 1
```

---

Need the numbers? Relative energies in eV/atom: P 0.436; Q 0.000.

---

P:
HfBeF3 | PBE-GGA | optimized geometry

Output
Its crystal system is cubic.

```
data_HfBeF3
_chemical_formula_sum 'Hf1 Be1 F3'
_cell_length_a 4.244
_cell_length_b 4.244
_cell_length_c 4.244
_cell_angle_alpha 90.00
_cell_angle_beta 90.00
_cell_angle_gamma 90.00
_space_group_name_H-M_alt 'P 1'
_space_group_IT_number 1
_space_group_name_Hall 'P 1'
loop_
_atom_site_label
_atom_site_type_symbol
_atom_site_fract_x
_atom_site_fract_y
_atom_site_fract_z
_atom_site_occupancy
Hf1 Hf 0.000 0.000 0.000 1
Be1 Be 0.500 0.500 0.500 1
F1 F 0.000 0.000 0.500 1
F2 F 0.000 0.500 0.000 1
F3 F 0.500 0.000 0.000 1
```

---

Q:
HfBeF3 | PBE-GGA | optimized geometry

Output
Its crystal system is cubic.

```
data_HfBeF3
_chemical_formula_sum 'Hf1 Be1 F3'
_cell_length_a 3.850
_cell_length_b 3.850
_cell_length_c 3.850
_cell_angle_alpha 90.00
_cell_angle_beta 90.00
_cell_angle_gamma 90.00
_space_group_name_H-M_alt 'P 1'
_space_group_IT_number 1
_space_group_name_Hall 'P 1'
loop_
_atom_site_label
_atom_site_type_symbol
_atom_site_fract_x
_atom_site_fract_y
_atom_site_fract_z
_atom_site_occupancy
Hf1 Hf 0.000 0.000 0.000 1
Be1 Be 0.500 0.500 0.500 1
F1 F 0.000 0.500 0.500 1
F2 F 0.500 0.000 0.500 1
F3 F 0.500 0.500 0.000 1
```

---

Need the numbers? Relative energies in eV/atom: P 0.000; Q 0.425.

---

P:
HfBeN2F | PBE-GGA | optimized geometry

Output
Its crystal system is tetragonal.

```
data_HfBeN2F
_chemical_formula_sum 'Hf1 Be1 N2 F1'
_cell_length_a 4.182
_cell_length_b 4.182
_cell_length_c 3.987
_cell_angle_alpha 90.00
_cell_angle_beta 90.00
_cell_angle_gamma 90.00
_space_group_name_H-M_alt 'P 1'
_space_group_IT_number 1
_space_group_name_Hall 'P 1'
loop_
_atom_site_label
_atom_site_type_symbol
_atom_site_fract_x
_atom_site_fract_y
_atom_site_fract_z
_atom_site_occupancy
Hf1 Hf 0.000 0.000 0.000 1
Be1 Be 0.500 0.500 0.500 1
N1 N 0.000 0.500 0.000 1
N2 N 0.500 0.000 0.000 1
F1 F 0.000 0.000 0.500 1
```

---

Q:
HfBeN2F | PBE-GGA | optimized geometry

Output
Its crystal system is tetragonal.

```
data_HfBeN2F
_chemical_formula_sum 'Hf1 Be1 N2 F1'
_cell_length_a 3.611
_cell_length_b 3.611
_cell_length_c 3.323
_cell_angle_alpha 90.00
_cell_angle_beta 90.00
_cell_angle_gamma 90.00
_space_group_name_H-M_alt 'P 1'
_space_group_IT_number 1
_space_group_name_Hall 'P 1'
loop_
_atom_site_label
_atom_site_type_symbol
_atom_site_fract_x
_atom_site_fract_y
_atom_site_fract_z
_atom_site_occupancy
Hf1 Hf 0.000 0.000 0.000 1
Be1 Be 0.500 0.500 0.500 1
N1 N 0.000 0.500 0.500 1
N2 N 0.500 0.000 0.500 1
F1 F 0.500 0.500 0.000 1
```

---

Need the numbers? Relative energies in eV/atom: P 0.755; Q 0.000.

---

P:
HfBeNF2 | PBE-GGA | optimized geometry

Output
Its crystal system is tetragonal.

```
data_HfBeNF2
_chemical_formula_sum 'Hf1 Be1 N1 F2'
_cell_length_a 4.116
_cell_length_b 4.116
_cell_length_c 4.226
_cell_angle_alpha 90.00
_cell_angle_beta 90.00
_cell_angle_gamma 90.00
_space_group_name_H-M_alt 'P 1'
_space_group_IT_number 1
_space_group_name_Hall 'P 1'
loop_
_atom_site_label
_atom_site_type_symbol
_atom_site_fract_x
_atom_site_fract_y
_atom_site_fract_z
_atom_site_occupancy
Hf1 Hf 0.000 0.000 0.000 1
Be1 Be 0.500 0.500 0.500 1
N1 N 0.000 0.000 0.500 1
F1 F 0.000 0.500 0.000 1
F2 F 0.500 0.000 0.000 1
```

---

Q:
HfBeNF2 | PBE-GGA | optimized geometry

Output
Its crystal system is tetragonal.

```
data_HfBeNF2
_chemical_formula_sum 'Hf1 Be1 N1 F2'
_cell_length_a 3.144
_cell_length_b 3.144
_cell_length_c 6.612
_cell_angle_alpha 90.00
_cell_angle_beta 90.00
_cell_angle_gamma 90.00
_space_group_name_H-M_alt 'P 1'
_space_group_IT_number 1
_space_group_name_Hall 'P 1'
loop_
_atom_site_label
_atom_site_type_symbol
_atom_site_fract_x
_atom_site_fract_y
_atom_site_fract_z
_atom_site_occupancy
Hf1 Hf 0.000 0.000 0.000 1
Be1 Be 0.500 0.500 0.500 1
N1 N 0.500 0.500 0.000 1
F1 F 0.000 0.500 0.500 1
F2 F 0.500 0.000 0.500 1
```

---

Need the numbers? Relative energies in eV/atom: P 0.612; Q 0.000.

---

P:
BeHgF2 | PBE-GGA | optimized geometry

Output
Its crystal system is cubic.

```
data_BeHgF2
_chemical_formula_sum 'Be4 Hg4 F8'
_cell_length_a 6.053
_cell_length_b 6.053
_cell_length_c 6.053
_cell_angle_alpha 90.00
_cell_angle_beta 90.00
_cell_angle_gamma 90.00
_space_group_name_H-M_alt 'P 1'
_space_group_IT_number 1
_space_group_name_Hall 'P 1'
loop_
_atom_site_label
_atom_site_type_symbol
_atom_site_fract_x
_atom_site_fract_y
_atom_site_fract_z
_atom_site_occupancy
Be1 Be 0.000 0.000 0.000 1
Be2 Be 0.000 0.500 0.500 1
Be3 Be 0.500 0.000 0.500 1
Be4 Be 0.500 0.500 0.000 1
Hg1 Hg 0.000 0.000 0.500 1
Hg2 Hg 0.000 0.500 0.000 1
Hg3 Hg 0.500 0.000 0.000 1
Hg4 Hg 0.500 0.500 0.500 1
F1 F 0.250 0.250 0.250 1
F2 F 0.250 0.250 0.750 1
F3 F 0.250 0.750 0.250 1
F4 F 0.250 0.750 0.750 1
F5 F 0.750 0.250 0.250 1
F6 F 0.750 0.250 0.750 1
F7 F 0.750 0.750 0.250 1
F8 F 0.750 0.750 0.750 1
```

---

Q:
BeHgF2 | PBE-GGA | optimized geometry

Output
Its crystal system is trigonal.

```
data_BeHgF2
_chemical_formula_sum 'Be3 Hg3 F6'
_cell_length_a 2.797
_cell_length_b 2.797
_cell_length_c 27.841
_cell_angle_alpha 90.00
_cell_angle_beta 90.00
_cell_angle_gamma 120.00
_space_group_name_H-M_alt 'P 1'
_space_group_IT_number 1
_space_group_name_Hall 'P 1'
loop_
_atom_site_label
_atom_site_type_symbol
_atom_site_fract_x
_atom_site_fract_y
_atom_site_fract_z
_atom_site_occupancy
Be1 Be 0.000 0.000 0.000 1
Be2 Be 0.333 0.667 0.667 1
Be3 Be 0.667 0.333 0.333 1
Hg1 Hg 0.000 0.000 0.500 1
Hg2 Hg 0.333 0.667 0.167 1
Hg3 Hg 0.667 0.333 0.833 1
F1 F 0.000 0.000 0.364 1
F2 F 0.000 0.000 0.636 1
F3 F 0.333 0.667 0.031 1
F4 F 0.333 0.667 0.302 1
F5 F 0.667 0.333 0.698 1
F6 F 0.667 0.333 0.969 1
```

---

R:
BeHgF2 | PBE-GGA | optimized geometry

Output
Its crystal system is cubic.

```
data_BeHgF2
_chemical_formula_sum 'Be2 Hg2 F4'
_cell_length_a 5.378
_cell_length_b 5.378
_cell_length_c 5.378
_cell_angle_alpha 60.00
_cell_angle_beta 60.00
_cell_angle_gamma 60.00
_space_group_name_H-M_alt 'P 1'
_space_group_IT_number 1
_space_group_name_Hall 'P 1'
loop_
_atom_site_label
_atom_site_type_symbol
_atom_site_fract_x
_atom_site_fract_y
_atom_site_fract_z
_atom_site_occupancy
Be1 Be 0.125 0.125 0.125 1
Be2 Be 0.875 0.875 0.875 1
Hg1 Hg 0.375 0.375 0.375 1
Hg2 Hg 0.625 0.625 0.625 1
F1 F 0.000 0.000 0.000 1
F2 F 0.000 0.000 0.500 1
F3 F 0.000 0.500 0.000 1
F4 F 0.500 0.000 0.000 1
```

---

Need the numbers? Relative energies in eV/atom: P 1.730; Q 0.167; R 0.000.